A plane-wave DFT calculation with PBEsol was carried out for crystalline BeFeRh at its relaxed geometry.

Structure (extended XYZ):
```
3
Lattice="2.692 0.000 0.000 0.000 2.692 0.000 -1.346 -1.346 4.382" Properties=species:S:1:pos:R:3 pbc="T T T"
Be 0.000 0.000 0.014
Fe 1.346 1.346 1.346
Rh 0.000 0.000 3.023
```

Summary:
The formation energy is -0.232 eV/atom.


A plane-wave DFT calculation with PBEsol was carried out for crystalline Be4FeRh at its relaxed geometry.

Structure (extended XYZ):
```
6
Lattice="4.219 0.000 0.000 2.109 3.654 0.000 2.109 1.218 3.445" Properties=species:S:1:pos:R:3 pbc="T T T"
Fe 6.328 3.654 2.584
Be 5.266 1.831 1.295
Be 4.219 3.644 1.295
Be 3.172 1.831 1.295
Be 4.219 2.436 3.004
Rh 0.000 0.000 0.000
```

Summary:
The formation energy is -0.358 eV/atom.


A plane-wave DFT calculation with PBEsol was carried out for crystalline BeFe2Rh at its relaxed geometry.

Structure (extended XYZ):
```
4
Lattice="-2.442 -0.289 -0.678 -0.704 -2.008 -1.408 -2.384 -4.910 5.884" Properties=species:S:1:pos:R:3 pbc="T T T"
Fe -1.358 -1.726 0.829
Fe -4.172 -5.481 2.968
Be 0.000 0.000 0.000
Rh -2.765 -3.604 1.899
```

Summary:
The formation energy is 0.083 eV/atom.


A plane-wave DFT calculation with PBEsol was carried out for crystalline BeFe2Rh at its relaxed geometry.

Structure (extended XYZ):
```
4
Lattice="-0.591 -0.996 -2.536 3.630 0.389 -0.998 -0.761 -3.443 3.062" Properties=species:S:1:pos:R:3 pbc="T T T"
Rh -0.295 -0.498 -1.268
Be 1.815 0.195 -0.499
Fe 0.393 -1.941 0.671
Fe 1.885 -2.109 -1.143
```

Summary:
The formation energy is -0.145 eV/atom.


A plane-wave DFT calculation with PBEsol was carried out for crystalline BeFe2Rh at its relaxed geometry.

Structure (extended XYZ):
```
4
Lattice="2.823 0.000 0.000 0.000 3.771 0.000 0.000 0.000 4.068" Properties=species:S:1:pos:R:3 pbc="T T T"
Fe 0.000 0.000 0.000
Fe 1.411 1.885 0.000
Rh 1.411 0.000 2.034
Be 0.000 1.885 2.034
```

Summary:
The formation energy is -0.128 eV/atom.


A plane-wave DFT calculation with PBEsol was carried out for crystalline Be2FeRu2 at its relaxed geometry.

Structure (extended XYZ):
```
10
Lattice="-2.868 -0.112 0.745 0.089 -5.929 -0.549 1.510 -0.508 5.738" Properties=species:S:1:pos:R:3 pbc="T T T"
Ru -0.867 -5.123 1.793
Ru -0.402 -1.426 4.141
Ru -0.125 -4.469 4.746
Ru -1.143 -2.081 1.188
Be 1.357 -2.676 4.821
Be 1.020 -5.512 3.099
Be 0.579 -0.926 2.090
Be 0.243 -3.762 0.368
Fe 0.800 -3.219 2.594
Fe 0.000 0.000 0.000
```

Summary:
The formation energy is -0.174 eV/atom.


A plane-wave DFT calculation with PBEsol was carried out for crystalline BeFeRu at its relaxed geometry.

Structure (extended XYZ):
```
3
Lattice="-2.058 -0.230 -1.707 1.689 -0.794 -1.928 -0.355 -3.537 3.013" Properties=species:S:1:pos:R:3 pbc="T T T"
Ru -0.363 -2.725 0.804
Fe -0.351 -1.762 -1.449
Be -0.010 -0.073 0.022
```

Summary:
The distance to the lowest polymorph of the same formula is 0 meV per atom. The formation energy is -0.136 eV/atom.


A plane-wave DFT calculation with PBEsol was carried out for crystalline BeFeRu at its relaxed geometry.

Structure (extended XYZ):
```
3
Lattice="3.756 0.000 0.000 1.878 3.253 0.000 1.878 1.084 3.067" Properties=species:S:1:pos:R:3 pbc="T T T"
Be 0.000 0.000 0.000
Fe 3.756 2.169 1.534
Ru 1.878 1.084 0.767
```

Summary:
The distance to the lowest polymorph of the same formula is 640 meV per atom. The formation energy is 0.505 eV/atom.


A plane-wave DFT calculation with PBEsol was carried out for crystalline Be2Fe2Ru at its relaxed geometry.

Structure (extended XYZ):
```
10
Lattice="2.699 0.000 0.000 0.000 6.025 0.000 0.000 0.000 6.025" Properties=species:S:1:pos:R:3 pbc="T T T"
Be 0.000 3.765 0.752
Be 0.000 2.261 5.273
Be 0.000 5.273 3.765
Be 0.000 0.752 2.261
Fe 1.350 4.036 5.001
Fe 1.350 5.001 1.989
Fe 1.350 1.989 1.024
Fe 1.350 1.024 4.036
Ru 0.000 3.013 3.013
Ru 0.000 0.000 0.000
```

Summary:
The formation energy is -0.090 eV/atom.


A plane-wave DFT calculation with PBEsol was carried out for crystalline BeFeS2 at its relaxed geometry.

Structure (extended XYZ):
```
8
Lattice="-0.291 1.925 -4.513 2.072 -4.049 -1.861 -5.224 -0.899 2.630" Properties=species:S:1:pos:R:3 pbc="T T T"
Be -2.313 -0.018 -2.535
Be 0.890 -1.062 -3.187
S -0.781 -0.076 -3.949
S 0.395 -3.029 -2.704
S -2.824 -1.966 -1.995
S -3.677 -0.976 1.159
Fe -1.131 -3.005 -1.209
Fe 0.000 0.000 0.000
```

Summary:
The value obtained for the uncorrected formation energy is -513 meV/atom.


A plane-wave DFT calculation with PBEsol was carried out for crystalline BeFeSb2 at its relaxed geometry.

Structure (extended XYZ):
```
4
Lattice="3.068 0.000 0.000 0.000 3.068 0.000 0.000 0.000 7.068" Properties=species:S:1:pos:R:3 pbc="T T T"
Sb 0.000 0.000 5.158
Sb 0.000 0.000 1.909
Fe 1.534 1.534 3.534
Be 1.534 1.534 0.000
```

Summary:
The value obtained for the uncorrected formation energy is 491 meV/atom.


A plane-wave DFT calculation with PBEsol was carried out for crystalline Be4FeSb at its relaxed geometry.

Structure (extended XYZ):
```
6
Lattice="4.417 0.000 0.000 2.209 3.826 0.000 2.209 1.275 3.607" Properties=species:S:1:pos:R:3 pbc="T T T"
Sb 0.000 0.000 0.000
Be 3.339 1.928 1.363
Be 5.495 1.928 1.363
Be 4.417 2.550 3.123
Be 4.417 3.795 1.363
Fe 6.626 3.826 2.705
```

Summary:
The value obtained for the uncorrected formation energy is 105 meV/atom.


A plane-wave DFT calculation with PBEsol was carried out for crystalline BeFe2Sb at its relaxed geometry.

Structure (extended XYZ):
```
4
Lattice="3.079 0.000 0.000 0.000 3.079 0.000 0.000 0.000 5.392" Properties=species:S:1:pos:R:3 pbc="T T T"
Fe 1.539 1.539 1.200
Fe 0.000 0.000 5.253
Sb 0.000 0.000 2.641
Be 1.539 1.539 4.386
```

Summary:
The distance to the lowest polymorph of the same formula is 0 meV per atom. The value obtained for the uncorrected formation energy is 145 meV/atom.


A plane-wave DFT calculation with PBEsol was carried out for crystalline BeFe2Sb at its relaxed geometry.

Structure (extended XYZ):
```
4
Lattice="4.132 0.000 0.000 2.066 3.579 0.000 2.066 1.193 3.374" Properties=species:S:1:pos:R:3 pbc="T T T"
Fe 2.066 1.193 0.844
Fe 0.000 0.000 0.000
Sb 6.199 3.579 2.531
Be 4.132 2.386 1.687
```

Summary:
The distance to the lowest polymorph of the same formula is 112 meV per atom. The value obtained for the uncorrected formation energy is 258 meV/atom.


A plane-wave DFT calculation with PBEsol was carried out for crystalline Sc2BeFe at its relaxed geometry.

Structure (extended XYZ):
```
4
Lattice="3.484 0.000 0.000 0.000 3.714 0.000 -1.742 0.000 4.921" Properties=species:S:1:pos:R:3 pbc="T T T"
Sc 0.000 1.857 3.883
Sc 0.000 0.000 1.069
Be 1.742 0.000 3.050
Fe 1.742 1.857 1.897
```

Summary:
The formation energy is -0.066 eV/atom.


A plane-wave DFT calculation with PBEsol was carried out for crystalline Sc2BeFe at its relaxed geometry.

Structure (extended XYZ):
```
4
Lattice="2.932 0.000 0.000 1.466 2.539 0.000 1.466 0.846 9.002" Properties=species:S:1:pos:R:3 pbc="T T T"
Sc 4.398 2.539 2.436
Sc 1.466 0.846 6.566
Fe 0.000 0.000 0.000
Be 2.932 1.693 4.501
```

Summary:
The formation energy is 0.601 eV/atom.


A plane-wave DFT calculation with PBEsol was carried out for crystalline ScBe3Fe at its relaxed geometry.

Structure (extended XYZ):
```
5
Lattice="-3.296 0.176 -2.160 -0.259 -3.936 0.074 -2.152 0.203 3.300" Properties=species:S:1:pos:R:3 pbc="T T T"
Be -1.648 0.088 -1.080
Be -0.129 -1.968 0.037
Be -1.076 0.102 1.650
Fe 0.000 0.000 0.000
Sc -2.853 -1.778 0.607
```

Summary:
The formation energy is 0.103 eV/atom.


A plane-wave DFT calculation with PBEsol was carried out for crystalline Sc2BeFe at its relaxed geometry.

Structure (extended XYZ):
```
4
Lattice="-2.927 0.061 -0.945 0.295 -4.140 -1.182 -0.038 0.769 5.176" Properties=species:S:1:pos:R:3 pbc="T T T"
Fe -2.233 -0.692 1.866
Be -1.233 -1.158 3.748
Sc -0.487 -2.666 1.337
Sc -0.070 -0.065 0.212
```

Summary:
The formation energy is 0.001 eV/atom.


A plane-wave DFT calculation with PBEsol was carried out for crystalline ScBeFe2Sn at its relaxed geometry.

Structure (extended XYZ):
```
5
Lattice="-3.851 1.487 1.231 -1.219 -4.321 1.405 1.720 0.908 4.284" Properties=species:S:1:pos:R:3 pbc="T T T"
Sc -1.675 -0.964 3.460
Sn 0.000 0.000 0.000
Fe 0.860 0.454 2.142
Fe -0.610 -2.161 0.703
Be -1.926 0.743 0.616
```

Summary:
The formation energy is 0.984 eV/atom.


A plane-wave DFT calculation with PBEsol was carried out for crystalline ScTiBeFe2 at its relaxed geometry.

Structure (extended XYZ):
```
5
Lattice="4.196 0.000 0.000 0.000 4.196 0.000 0.000 0.000 4.452" Properties=species:S:1:pos:R:3 pbc="T T T"
Sc 0.000 0.000 0.000
Fe 2.098 0.000 0.000
Fe 0.000 2.098 0.000
Ti 2.098 2.098 2.226
Be 0.000 0.000 2.226
```

Summary:
The formation energy is 1.325 eV/atom.


A plane-wave DFT calculation with PBEsol was carried out for crystalline BeFe3Se at its relaxed geometry.

Structure (extended XYZ):
```
5
Lattice="-3.865 1.702 0.380 -1.731 -3.857 -0.330 0.213 -0.456 4.210" Properties=species:S:1:pos:R:3 pbc="T T T"
Be -2.691 -1.306 2.130
Fe 0.107 -0.228 2.105
Fe -1.933 0.851 0.190
Fe -0.865 -1.929 -0.165
Se 0.000 0.000 0.000
```

Summary:
The distance to the lowest polymorph of the same formula is 341 meV per atom. The value obtained for the uncorrected formation energy is 955 meV/atom.


A plane-wave DFT calculation with PBEsol was carried out for crystalline BeFeSe2 at its relaxed geometry.

Structure (extended XYZ):
```
4
Lattice="-1.726 -2.575 -0.527 1.848 -1.656 2.040 -3.907 3.714 4.026" Properties=species:S:1:pos:R:3 pbc="T T T"
Be -3.496 1.453 4.346
Se -2.691 -0.528 2.009
Se -3.676 -0.563 5.403
Fe -1.553 0.201 4.100
```

Summary:
The value obtained for the uncorrected formation energy is -49 meV/atom.


A plane-wave DFT calculation with PBEsol was carried out for crystalline BeFeSe3 at its relaxed geometry.

Structure (extended XYZ):
```
5
Lattice="-3.970 -0.882 1.908 -1.764 -0.819 -4.049 1.143 -4.328 0.378" Properties=species:S:1:pos:R:3 pbc="T T T"
Fe -2.296 -3.014 -0.882
Se -1.985 -0.441 0.954
Se 0.571 -2.164 0.189
Se -0.882 -0.409 -2.025
Be 0.000 0.000 0.000
```

Summary:
The value obtained for the uncorrected formation energy is 611 meV/atom.


A plane-wave DFT calculation with PBEsol was carried out for crystalline Be3FeSe at its relaxed geometry.

Structure (extended XYZ):
```
5
Lattice="-3.776 -0.140 1.768 1.689 -1.557 3.483 0.543 3.868 1.466" Properties=species:S:1:pos:R:3 pbc="T T T"
Be 0.272 1.934 0.733
Be -1.888 -0.070 0.884
Be 0.844 -0.778 1.741
Se 0.000 0.000 0.000
Fe -0.772 1.086 3.358
```

Summary:
The value obtained for the uncorrected formation energy is 1261 meV/atom.


A plane-wave DFT calculation with PBEsol was carried out for crystalline BeFe3Se at its relaxed geometry.

Structure (extended XYZ):
```
5
Lattice="3.969 0.000 0.000 0.000 3.969 0.000 0.000 0.000 3.969" Properties=species:S:1:pos:R:3 pbc="T T T"
Fe 1.985 0.000 0.000
Fe 0.000 1.985 0.000
Fe 0.000 0.000 1.985
Be 0.000 0.000 0.000
Se 1.985 1.985 1.985
```

Summary:
The distance to the lowest polymorph of the same formula is 0 meV per atom. The value obtained for the uncorrected formation energy is 614 meV/atom.


A plane-wave DFT calculation with PBEsol was carried out for crystalline BeFeSe2 at its relaxed geometry.

Structure (extended XYZ):
```
8
Lattice="-3.530 3.539 -2.091 -0.305 -2.974 -4.519 -2.020 -2.996 5.357" Properties=species:S:1:pos:R:3 pbc="T T T"
Fe -2.121 -2.844 -1.233
Fe 0.000 0.000 0.000
Se -3.604 1.128 -2.124
Se -2.199 -1.920 -3.461
Se -2.003 -2.264 3.058
Se -3.902 -1.807 0.020
Be -3.733 0.413 -0.020
Be -1.917 0.282 -3.305
```

Summary:
The value obtained for the uncorrected formation energy is -281 meV/atom.


A plane-wave DFT calculation with PBEsol was carried out for crystalline Be2FeSe at its relaxed geometry.

Structure (extended XYZ):
```
4
Lattice="3.920 0.000 0.000 1.960 3.394 0.000 1.960 1.131 3.200" Properties=species:S:1:pos:R:3 pbc="T T T"
Be 0.000 0.000 0.000
Be 1.960 1.131 0.800
Se 5.879 3.394 2.400
Fe 3.920 2.263 1.600
```

Summary:
The value obtained for the uncorrected formation energy is 392 meV/atom.


A plane-wave DFT calculation with PBEsol was carried out for crystalline Be2FeSi at its relaxed geometry.

Structure (extended XYZ):
```
4
Lattice="-0.865 -1.367 2.810 2.452 -2.104 -0.268 1.315 3.972 0.467" Properties=species:S:1:pos:R:3 pbc="T T T"
Be 0.622 0.435 2.274
Be 2.280 0.067 0.735
Fe 0.794 -1.735 1.271
Si 0.000 0.000 0.000
```

Summary:
The value obtained for the uncorrected formation energy is -281 meV/atom.


A plane-wave DFT calculation with PBEsol was carried out for crystalline Be2FeSi at its relaxed geometry.

Structure (extended XYZ):
```
4
Lattice="2.933 0.000 0.000 0.000 3.498 0.000 -1.466 -1.749 3.616" Properties=species:S:1:pos:R:3 pbc="T T T"
Si 0.000 1.749 0.000
Be 1.466 1.749 1.852
Be 0.000 0.000 1.764
Fe 1.466 0.000 0.000
```

Summary:
The value obtained for the uncorrected formation energy is -295 meV/atom.